No. 1
A plane-wave DFT calculation with PBE was carried out for a geometry-optimized Er3MgCd5 structure.

Structure (CIF):
```
data_Er3MgCd5
_space_group_name_H-M_alt 'P 63/m c m'
_space_group_IT_number 193
_space_group_name_Hall '-P 6c 2'
_cell_length_a 8.9775
_cell_length_b 8.9775
_cell_length_c 6.2336
_cell_angle_alpha 90.00
_cell_angle_beta 90.00
_cell_angle_gamma 120.00
loop_
_atom_site_label
_atom_site_type_symbol
_atom_site_fract_x
_atom_site_fract_y
_atom_site_fract_z
Er1 Er 0.0000 0.3476 0.2500
Mg1 Mg 0.0000 0.0000 0.0000
Cd1 Cd 0.0000 0.3163 0.7500
Cd2 Cd 0.3333 0.6667 0.0000
```

As for the total energy: -2.4487 eV/atom. The density of states at the Fermi level comes out at 12.0 states/eV per cell. The value obtained for the total magnetic moment is 0.00 μB/cell. The formation energy is -0.242 eV per atom.

***

No. 2
A plane-wave DFT calculation with PBE was carried out for a geometry-optimized ErMg4Cd8 structure.

Structure (CIF):
```
data_ErMg4Cd8
_space_group_name_H-M_alt 'I 4/m m m'
_space_group_IT_number 139
_space_group_name_Hall '-I 4 2'
_cell_length_a 9.7891
_cell_length_b 9.7891
_cell_length_c 6.0601
_cell_angle_alpha 90.00
_cell_angle_beta 90.00
_cell_angle_gamma 90.00
loop_
_atom_site_label
_atom_site_type_symbol
_atom_site_fract_x
_atom_site_fract_y
_atom_site_fract_z
Er1 Er 0.0000 0.0000 0.0000
Mg1 Mg 0.2500 0.2500 0.2500
Cd1 Cd 0.0000 0.2155 0.5000
Cd2 Cd 0.0000 0.3440 0.0000
```

As for the total energy: -1.5352 eV/atom. The density of states at the Fermi level comes out at 6.3 states/eV per cell. The value obtained for the total magnetic moment is 0.00 μB/cell. The formation energy is -0.130 eV per atom.

***

No. 3
A plane-wave DFT calculation with PBE was carried out for a geometry-optimized Er2MgCd3 structure.

Structure (CIF):
```
data_Er2MgCd3
_space_group_name_H-M_alt 'P -3 m 1'
_space_group_IT_number 164
_space_group_name_Hall '-P 3 2"'
_cell_length_a 5.1189
_cell_length_b 5.1189
_cell_length_c 12.6949
_cell_angle_alpha 90.00
_cell_angle_beta 90.00
_cell_angle_gamma 120.00
loop_
_atom_site_label
_atom_site_type_symbol
_atom_site_fract_x
_atom_site_fract_y
_atom_site_fract_z
Er1 Er 0.0000 0.0000 0.0000
Er2 Er 0.0000 0.0000 0.5000
Er3 Er 0.3333 0.6667 0.1733
Mg1 Mg 0.3333 0.6667 0.6626
Cd1 Cd 0.0000 0.0000 0.2544
Cd2 Cd 0.3333 0.6667 0.4183
Cd3 Cd 0.3333 0.6667 0.9147
```

As for the total energy: -2.5384 eV/atom. The density of states at the Fermi level comes out at 6.9 states/eV per cell. The value obtained for the total magnetic moment is 0.00 μB/cell. The formation energy is -0.294 eV per atom. The calculation puts the energy above the lowest structure with this stoichiometry at 0 meV per atom.

***

No. 4
A plane-wave DFT calculation with PBE was carried out for a geometry-optimized Er2MgCd2 structure.

Structure (CIF):
```
data_Er2MgCd2
_space_group_name_H-M_alt 'I m m m'
_space_group_IT_number 71
_space_group_name_Hall '-I 2 2'
_cell_length_a 4.6925
_cell_length_b 6.2873
_cell_length_c 8.7693
_cell_angle_alpha 90.00
_cell_angle_beta 90.00
_cell_angle_gamma 90.00
loop_
_atom_site_label
_atom_site_type_symbol
_atom_site_fract_x
_atom_site_fract_y
_atom_site_fract_z
Er1 Er 0.0000 0.0000 0.1986
Mg1 Mg 0.0000 0.5000 0.0000
Cd1 Cd 0.0000 0.2724 0.5000
```

As for the total energy: -2.6708 eV/atom. The density of states at the Fermi level comes out at 9.3 states/eV per cell. The value obtained for the total magnetic moment is 0.00 μB/cell. The formation energy is -0.161 eV per atom. The calculation puts the energy above the lowest structure with this stoichiometry at 44 meV per atom.

***

No. 5
A plane-wave DFT calculation with PBE was carried out for a geometry-optimized Er2Mg3Cd structure.

Structure (CIF):
```
data_Er2Mg3Cd
_space_group_name_H-M_alt 'P m m 2'
_space_group_IT_number 25
_cell_length_a 3.3264
_cell_length_b 5.1192
_cell_length_c 8.8653
_cell_angle_alpha 90.00
_cell_angle_beta 90.00
_cell_angle_gamma 90.00
loop_
_space_group_symop_operation_xyz
'x,y,z'
'-x,-y,z'
'-x,y,z'
'x,-y,z'
loop_
_atom_site_label
_atom_site_type_symbol
_atom_site_fract_x
_atom_site_fract_y
_atom_site_fract_z
Er1 Er 0.0000 0.0000 0.0000
Er2 Er 0.0000 0.5000 0.4891
Mg1 Mg 0.5000 0.0000 0.6612
Mg2 Mg 0.5000 0.5000 0.1611
Mg3 Mg 0.5000 0.5000 0.8264
Cd1 Cd 0.5000 0.0000 0.3293
```

As for the total energy: -2.5955 eV/atom. The density of states at the Fermi level comes out at 5.6 states/eV per cell. The value obtained for the total magnetic moment is 0.00 μB/cell. The formation energy is -0.125 eV per atom. The calculation puts the energy above the lowest structure with this stoichiometry at 6 meV per atom.

***

No. 6
A plane-wave DFT calculation with PBE was carried out for a geometry-optimized Er5Mg4Cd2 structure.

Structure (CIF):
```
data_Er5Mg4Cd2
_space_group_name_H-M_alt 'P b a m'
_space_group_IT_number 55
_cell_length_a 8.3538
_cell_length_b 19.0264
_cell_length_c 3.6581
_cell_angle_alpha 90.00
_cell_angle_beta 90.00
_cell_angle_gamma 90.00
loop_
_space_group_symop_operation_xyz
'x,y,z'
'-x,-y,-z'
'-x,-y,z'
'x,y,-z'
'x+1/2,-y+1/2,-z'
'-x+1/2,y+1/2,z'
'-x+1/2,y+1/2,-z'
'x+1/2,-y+1/2,z'
loop_
_atom_site_label
_atom_site_type_symbol
_atom_site_fract_x
_atom_site_fract_y
_atom_site_fract_z
Er1 Er 0.0000 0.0000 0.0000
Er2 Er 0.1178 0.4259 0.0000
Er3 Er 0.2395 0.2035 0.0000
Mg1 Mg 0.0863 0.8509 0.5000
Mg2 Mg 0.2071 0.5631 0.5000
Cd1 Cd 0.0399 0.3002 0.5000
```

As for the total energy: -2.9390 eV/atom. The density of states at the Fermi level comes out at 23.1 states/eV per cell. The value obtained for the total magnetic moment is 0.00 μB/cell. The formation energy is -0.119 eV per atom.